Compound: KCa2BPt
Source: Alexandria
Functional: GGA-PBE
Structure: optimized geometry

Computed properties:
**Energy**: -15.407 eV per cell
**Symmetry**: P4/mmm, No. 123
**M_tot**: 0.0 μB/f.u.

Cell: 5.1685 5.2053 5.1685 Å, 90.00 90.00 90.00°
Atoms (fractional coordinates):
Pt1 0.5000 0.5000 0.5000
Ca1 0.5000 0.0000 0.0000
Ca2 0.0000 0.0000 0.5000
B1 0.0000 0.0000 0.0000
K1 0.0000 0.5000 0.0000